1.
An optimized crystal structure of Y2AgRu. Source: Alexandria, functional GGA-PBE.

Lattice parameters (Å, degrees): 3.4420 3.4420 7.4748 90.00 90.00 90.00
With the nearest neighbours (Å) after each atom.
Space group P4/mmm (No. 123)
Unique sites:
Y 0.0000 0.0000 0.2235 [2 per cell]  4 Ru 2.95, 4 Ag 3.19
Ag 0.5000 0.5000 0.5000 [1 per cell]  8 Y 3.19, 4 Ag 3.44
Ru 0.5000 0.5000 0.0000 [1 per cell]  8 Y 2.95

Output
The density of states at the Fermi level is 0.6570 states/eV/atom. Its total energy is -26.6 eV/cell. For the spin magnetization, the calculation gives 0.00 μB/atom. For the theoretical density, the calculation gives 7.3 g cm⁻³.

---

2.
An optimized crystal structure of PmZrPa. Source: Alexandria, functional GGA-PBE.

Lattice parameters (Å, degrees): 6.2719 3.1747 8.1646 90.00 90.00 90.00
With the nearest neighbours (Å) after each atom.
Space group Pmma (No. 51)
Unique sites:
Pm 0.0000 0.0000 0.0000 [2 per cell]  4 Pm 3.14-3.17, 2 Zr 3.38, 4 Pa 3.47
Zr 0.2500 0.0000 0.3670 [2 per cell]  2 Pa 2.97, 2 Zr 3.17
Pa 0.2500 0.5000 0.6750 [2 per cell]  2 Zr 2.97, 2 Pa 3.17

Output
The density of states at the Fermi level is 1.8110 states/eV/atom. For the spin magnetization, the calculation gives 0.00 μB/atom. For the theoretical density, the calculation gives 9.5 g cm⁻³. The excess energy over the best structure of this formula in the dataset is 0.167 eV/atom.

---

The highest theoretical density belongs to which entry?
PmZrPa

---

Copy entry 2 word for word.
An optimized crystal structure of PmZrPa. Source: Alexandria, functional GGA-PBE.

Lattice parameters (Å, degrees): 6.2719 3.1747 8.1646 90.00 90.00 90.00
With the nearest neighbours (Å) after each atom.
Space group Pmma (No. 51)
Unique sites:
Pm 0.0000 0.0000 0.0000 [2 per cell]  4 Pm 3.14-3.17, 2 Zr 3.38, 4 Pa 3.47
Zr 0.2500 0.0000 0.3670 [2 per cell]  2 Pa 2.97, 2 Zr 3.17
Pa 0.2500 0.5000 0.6750 [2 per cell]  2 Zr 2.97, 2 Pa 3.17

Output
The density of states at the Fermi level is 1.8110 states/eV/atom. For the spin magnetization, the calculation gives 0.00 μB/atom. For the theoretical density, the calculation gives 9.5 g cm⁻³. The excess energy over the best structure of this formula in the dataset is 0.167 eV/atom.

---

Which formula does entry 2 have?
PmZrPa